Below is Pr2ErScP4 after structural relaxation, with properties calculated at the GGA-PBE level.

## Properties
magnetization	0.0	μB/f.u.
E_form	-144.1	kJ per mole of atoms
space group	No. 10
final energy	-6.755	eV/atom
density of states at the Fermi level	0.78	states/eV/cell

Cell: 6.980 4.046 7.000 Å, 90.00 109.53 90.00°
Positions (direct):
Pr 0.000 0.000 0.000
Pr 0.000 0.500 0.500
Er 0.500 0.000 0.500
Sc 0.500 0.500 0.000
P 0.269 0.500 0.251
P 0.272 0.000 0.763
P 0.728 0.000 0.237
P 0.731 0.500 0.749

=====

Below is PrSm3Er2P6 after structural relaxation, with properties calculated at the GGA-PBE level.

## Properties
magnetization	0.0	μB/f.u.
E_form	-150.8	kJ per mole of atoms
space group	No. 12
final energy	-6.606	eV/atom
density of states at the Fermi level	1.54	states/eV/cell

Cell: 7.066 7.066 7.066 Å, 99.59 99.59 120.00°
Positions (direct):
Pr 0.000 0.000 0.000
Sm 0.165 0.835 0.500
Sm 0.500 0.500 0.500
Sm 0.835 0.165 0.500
Er 0.333 0.667 0.000
Er 0.667 0.333 0.000
P 0.082 0.423 0.247
P 0.259 0.259 0.755
P 0.423 0.082 0.247
P 0.577 0.918 0.753
P 0.741 0.741 0.245
P 0.918 0.577 0.753

=====

Below is PrSm2ErP4 after structural relaxation, with properties calculated at the GGA-PBE level.

## Properties
magnetization	0.0	μB/f.u.
E_form	-149.9	kJ per mole of atoms
space group	No. 10
final energy	-6.606	eV/atom
density of states at the Fermi level	0.63	states/eV/cell

Cell: 7.097 4.102 7.098 Å, 90.00 109.46 90.00°
Positions (direct):
Pr 0.000 0.000 0.000
Sm 0.000 0.500 0.500
Sm 0.500 0.000 0.500
Er 0.500 0.500 0.000
P 0.257 0.000 0.754
P 0.257 0.500 0.251
P 0.743 0.000 0.246
P 0.743 0.500 0.749

=====

Below is Tb2PrErP4 after structural relaxation, with properties calculated at the GGA-PBE level.

## Properties
magnetization	0.0	μB/f.u.
E_form	-151.8	kJ per mole of atoms
space group	No. 10
final energy	-6.603	eV/atom
density of states at the Fermi level	0.71	states/eV/cell

Cell: 7.028 4.061 7.031 Å, 90.00 109.46 90.00°
Positions (direct):
Tb 0.000 0.000 0.000
Tb 0.500 0.500 0.000
Pr 0.000 0.500 0.500
Er 0.500 0.000 0.500
P 0.256 0.500 0.249
P 0.258 0.000 0.756
P 0.742 0.000 0.244
P 0.744 0.500 0.751